NaPO3 | Alexandria via LeMat-Bulk | PBE | optimized geometry; uncorrected energy = -0.480 Ry/atom; symmetry = P2_1/c, No. 14; formation energy (no corrections) = -2.21 eV per atom
1.0
7.087 0.000 0.000
0.000 6.255 0.000
-6.736 0.000 12.308
Na P O
8 8 24
Cartesian
-0.857 0.781 1.626 Na
-4.225 2.347 7.780 Na
-1.505 0.761 6.090 Na
-4.873 2.366 12.244 Na
5.223 3.889 0.064 Na
1.855 5.493 6.218 Na
4.576 3.908 4.528 Na
1.208 5.474 10.682 Na
0.140 3.949 2.639 P
-3.228 5.433 8.793 P
-1.081 3.941 7.508 P
2.287 5.441 1.354 P
-1.937 0.814 10.954 P
1.431 2.314 4.800 P
3.579 0.822 3.515 P
0.211 2.306 9.669 P
-4.364 4.467 8.959 O
-0.996 4.916 2.805 O
-3.283 0.137 7.635 O
0.085 2.990 1.481 O
1.325 0.125 0.676 O
-2.043 3.002 6.830 O
0.273 3.151 4.041 O
-3.095 6.232 10.195 O
-1.808 4.633 8.794 O
1.560 4.749 2.640 O
2.959 4.395 0.521 O
-0.409 4.987 6.675 O
0.759 1.268 5.633 O
-2.609 1.860 11.787 O
-1.209 1.506 9.668 O
2.159 1.622 3.514 O
3.446 0.023 2.113 O
0.078 3.104 8.267 O
2.393 3.253 5.478 O
-0.975 6.130 11.632 O
0.265 3.265 10.827 O
3.633 6.118 4.673 O
1.346 1.339 9.503 O
4.714 1.788 3.349 O